1.
PBE K2Hg2Bi, relaxed; SG = Immm, No. 71; relative energy among the computed polymorphs = 0.0 meV per atom; E = -1.662 eV per atom; energy of formation from the pure elements = -0.326 eV per atom
1.0
5.1681 0.0000 0.0000
2.5841 6.0974 0.0690
2.5841 2.0824 5.7312
Bi K Hg
1 2 2
direct
0.0000 0.0000 0.0000
0.7996 0.7004 0.7004
0.2004 0.2996 0.2996
0.5000 0.7271 0.2729
0.5000 0.2729 0.7271

2.
PBE TaIrNO2, relaxed; SG = P4/mmm, No. 123; E = -7.314 eV per atom; energy relative to the elements, uncorrected = 0.477 eV/atom
1.0
3.8780 0.0000 0.0000
0.0000 3.8780 0.0000
0.0000 0.0000 3.9292
N O Ir Ta
1 2 1 1
direct
0.0000 0.0000 0.5000
0.5000 0.0000 0.0000
0.0000 0.5000 0.0000
0.0000 0.0000 0.0000
0.5000 0.5000 0.5000

3.
PBE Na2PaSbS6, relaxed; SG = R3, No. 146; E = -4.955 eV per atom; energy relative to the elements, uncorrected = -0.852 eV/atom
1.0
-5.4182 3.9778 -1.6733
-5.3979 -2.7382 -3.3679
-6.1532 -0.8926 3.4645
Na S Pa Sb
2 6 1 1
direct
0.0327 0.0327 0.9017
0.5344 0.5344 0.3969
0.0907 0.4599 0.7744
0.4600 0.6750 0.7744
0.5774 0.1813 0.2721
0.9691 0.5774 0.2721
0.6750 0.0907 0.7744
0.1814 0.9692 0.2721
0.8205 0.8205 0.5386
0.3205 0.3206 0.0384

4.
PBE SrZnAsBr2, relaxed; SG = P4/mmm, No. 123; relative energy among the computed polymorphs = 0.0 meV per atom; E = -2.873 eV per atom; energy relative to the elements, uncorrected = -0.683 eV/atom
1.0
-3.7702 -2.1280 3.1571
1.3157 -4.8976 -1.7299
3.3075 -0.4092 3.6740
Br As Zn Sr
2 1 1 1
direct
0.5000 0.0000 0.0000
0.0000 0.5000 0.0000
0.0000 0.0000 0.5000
0.0000 0.0000 0.0000
0.5000 0.5000 0.5000

5.
PBE Mn2SiPb, relaxed; SG = C2/m, No. 12; relative energy among the computed polymorphs = 48.1 meV per atom; E = -6.610 eV per atom; energy relative to the elements, uncorrected = 0.257 eV/atom
1.0
3.5850 0.0078 -0.0097
1.8051 3.0974 -0.0097
1.8686 1.0765 6.5991
Pb Mn Si
1 2 1
direct
0.7500 0.7500 0.7500
0.5254 0.5254 0.4163
0.9746 0.9746 0.0837
0.2500 0.2500 0.2500

6.
PBE BeCdH2Pd, relaxed; SG = P4/mmm, No. 123; E = -2.907 eV per atom
1.0
3.4131 0.0000 0.0000
0.0000 5.6910 0.0000
0.0000 0.0000 3.4131
Pd H Be Cd
1 2 1 1
direct
0.0000 0.0000 0.0000
0.5000 0.0000 0.0000
0.0000 0.0000 0.5000
0.5000 0.5000 0.5000
0.0000 0.5000 0.0000

7.
PBE Ti2PdSe4, relaxed; SG = I4_1/amd, No. 141; E = -5.891 eV per atom; energy relative to the elements, uncorrected = -0.902 eV/atom
1.0
-6.3414 3.5085 -2.1489
-2.8909 -6.6164 -2.2376
2.5494 0.8063 7.0665
Se Ti Pd
8 4 2
direct
0.3988 0.1327 0.2660
0.8512 0.6173 0.2340
0.3827 0.1489 0.7660
0.8672 0.1333 0.2660
0.3828 0.6167 0.2340
0.8667 0.1328 0.7340
0.8673 0.6011 0.7340
0.3833 0.6172 0.7660
0.6250 0.8750 0.2500
0.6250 0.3750 0.2500
0.1250 0.3750 0.7500
0.6250 0.3750 0.7500
0.2500 0.7501 0.5000
0.0000 0.9999 0.0000

8.
PBE CaTb3Sn12, relaxed; SG = P4/mmm, No. 123; E = -4.427 eV per atom; energy of formation from the pure elements = -0.432 eV per atom
1.0
4.7154 0.0000 0.0000
0.0000 4.7154 0.0000
0.0000 0.0000 19.0009
Sn Tb Ca
12 3 1
direct
0.5000 0.0000 0.6240
0.0000 0.5000 0.3760
0.0000 0.5000 0.8737
0.5000 0.0000 0.1263
0.0000 0.5000 0.6240
0.5000 0.0000 0.3760
0.0000 0.5000 0.1263
0.5000 0.0000 0.8737
0.5000 0.5000 0.0000
0.5000 0.5000 0.5000
0.5000 0.5000 0.7492
0.5000 0.5000 0.2508
0.0000 0.0000 0.5000
0.0000 0.0000 0.2525
0.0000 0.0000 0.7475
0.0000 0.0000 0.0000

9.
PBE CaTlOs2, relaxed; SG = I4/mmm, No. 139; relative energy among the computed polymorphs = 604.1 meV per atom; E = -5.806 eV per atom; energy of formation from the pure elements = 0.901 eV per atom
1.0
5.3461 -0.0201 0.0000
2.2246 4.8612 0.0000
-3.7853 -2.4206 2.8970
Tl Os Ca
1 2 1
direct
0.2500 0.7500 0.5000
0.5000 0.5000 0.0000
0.0000 0.0000 0.0000
0.7500 0.2500 0.5000

10.
PBE Y4TlAu, relaxed; SG = F-43m, No. 216; relative energy among the computed polymorphs = 700.3 meV per atom; E = -4.972 eV per atom; energy of formation from the pure elements = 0.278 eV per atom
1.0
-4.5834 -1.4027 4.0040
-5.8638 -0.6202 -2.0586
-2.6716 -5.6429 -0.1641
Au Tl Y
1 1 4
direct
0.7500 0.7500 0.7500
0.0000 0.0000 0.0000
0.3747 0.3747 0.8759
0.8759 0.3747 0.3747
0.3747 0.8759 0.3747
0.3747 0.3747 0.3747

11.
PBE Ge3PS, relaxed; SG = Pm-3m, No. 221; relative energy among the computed polymorphs = 631.4 meV per atom; E = -3.969 eV per atom; energy relative to the elements, uncorrected = 0.709 eV/atom
1.0
4.8623 0.0000 0.0000
0.0000 4.8623 0.0000
0.0000 0.0000 4.8623
P S Ge
1 1 3
direct
0.0000 0.0000 0.0000
0.5000 0.5000 0.5000
0.0000 0.5000 0.0000
0.0000 0.0000 0.5000
0.5000 0.0000 0.0000

12.
PBE Tb2CePrTl4, relaxed; SG = R-3m, No. 166; E = -4.006 eV per atom; energy of formation from the pure elements = -0.327 eV per atom
1.0
-1.3295 -0.1933 -5.2964
3.8059 -1.2085 -3.7298
-1.1376 -9.1478 -2.1992
Tb Tl Ce Pr
2 4 1 1
direct
0.7499 0.7499 0.7503
0.2501 0.2501 0.2497
0.1254 0.1254 0.6237
0.8746 0.8746 0.3763
0.6245 0.6245 0.1266
0.3755 0.3755 0.8734
0.5000 0.5000 0.5000
0.0000 0.0000 0.0000